MnAlSiTc | PBE | optimized geometry

The calculation puts the total magnetization at 2.54 μB/f.u. The volume is 208 Å³ per cell. The energy relative to the elements, uncorrected is -0.3055 eV per atom.

The structure belongs to space group F-43m (No. 216); the cell edges are 5.925, 5.925 and 5.925 Å and the angles 90.00°, 90.00° and 90.00°. Symmetry generates all atoms from Mn at (0.000, 0.000, 0.000), Al at (0.250, 0.250, 0.750), Si at (0.250, 0.250, 0.250) and Tc at (0.000, 0.000, 0.500).

La3Y4Th2 | PBE | optimized geometry

The value obtained for the calculated formation energy is 0.04 eV per atom. The calculation puts the total magnetization at 0.00 μB/f.u. The volume is 608 Å³ per cell.

The structure belongs to space group P-1 (No. 2); the cell edges are 7.212, 8.191 and 10.858 Å and the angles 103.29°, 90.00° and 102.90°. Symmetry generates all atoms from La at (0.076, 0.316, 0.052), La at (0.094, 0.337, 0.726), La at (0.257, 0.000, 0.506), Y at (0.085, 0.335, 0.389), Y at (0.257, 0.004, 0.169), Y at (0.420, 0.663, 0.278), Y at (0.422, 0.675, 0.945), Th at (0.250, 0.993, 0.831) and Th at (0.416, 0.663, 0.611).

AcSb3Au3 | PBE | optimized geometry

The calculation puts the total magnetization at 0.00 μB/f.u. The volume is 430 Å³ per cell. The energy relative to the elements, uncorrected is -0.1677 eV per atom.

The structure belongs to space group Pm-3n (No. 223); the cell edges are 7.548, 7.548 and 7.548 Å and the angles 90.00°, 90.00° and 90.00°. Symmetry generates all atoms from Ac at (0.000, 0.000, 0.000), Sb at (0.000, 0.250, 0.500) and Au at (0.000, 0.500, 0.250).

ErCu3Ge | PBE | optimized geometry

The value obtained for the calculated formation energy is -0.26 eV per atom. The calculation puts the total magnetization at 0.00 μB/f.u. The volume is 159 Å³ per cell.

The structure belongs to space group Pmmn (No. 59, origin choice 2); the cell edges are 4.454, 5.952 and 5.992 Å and the angles 90.00°, 90.00° and 90.00°. Symmetry generates all atoms from Er at (0.250, 0.250, 0.236), Cu at (0.250, 0.050, 0.743), Cu at (0.250, 0.750, 0.050) and Ge at (0.250, 0.750, 0.438).

MgTiZnSb2 | PBE | optimized geometry

The calculation puts the total magnetization at 0.11 μB/f.u. The volume is 151 Å³ per cell. The energy relative to the elements, uncorrected is 0.3331 eV per atom.

The structure belongs to space group P4/mmm (No. 123); the cell edges are 5.209, 5.209 and 5.579 Å and the angles 90.00°, 90.00° and 90.00°. Symmetry generates all atoms from Mg at (0.000, 0.000, 0.000), Ti at (0.000, 0.000, 0.500), Zn at (0.500, 0.500, 0.000) and Sb at (0.000, 0.500, 0.500).